No. 1
Material: InSe2O
Method: DFT, PBE
State: relaxed

It has space group R-3m (No. 166, hexagonal axes), with a = 3.0643 Å, b = 3.0643 Å, c = 27.5760 Å, α = 90.00°, β = 90.00° and γ = 120.00°. The asymmetric unit holds In at (0.0000, 0.0000, 0.0000), Se at (0.0000, 0.0000, 0.1064) and O at (0.0000, 0.0000, 0.5000).

The density of states at the Fermi level is 0.7012 states/eV/atom. For the total energy, the calculation gives -3.221 eV per atom. The energy above the most stable polymorph in this dataset comes out at 538.2 meV/atom. For the uncorrected formation energy, the calculation gives 446 meV/atom. The value obtained for the magnetization is 0.00 μB/atom.

***

No. 2
Material: In2SeO
Method: DFT, PBE
State: relaxed

It has space group I-42d (No. 122), with a = 5.7336 Å, b = 5.7336 Å, c = 11.9380 Å, α = 90.00°, β = 90.00° and γ = 90.00°. The asymmetric unit holds In at (0.1685, 0.2500, 0.1250), Se at (0.0000, 0.0000, 0.5000) and O at (0.0000, 0.0000, 0.0000).

The density of states at the Fermi level is 0.3274 states/eV/atom. For the total energy, the calculation gives -4.118 eV per atom. The energy above the most stable polymorph in this dataset comes out at 0.0 meV/atom. For the uncorrected formation energy, the calculation gives -639 meV/atom. The value obtained for the magnetization is 0.00 μB/atom.

***

No. 3
Material: Sr3In2Se2O4
Method: DFT, PBE
State: relaxed

It has space group I4/mmm (No. 139), with a = 4.2676 Å, b = 4.2676 Å, c = 23.8515 Å, α = 90.00°, β = 90.00° and γ = 90.00°. The asymmetric unit holds Sr at (0.0000, 0.0000, 0.0000), Sr at (0.0000, 0.0000, 0.1587), In at (0.0000, 0.0000, 0.4136), Se at (0.0000, 0.0000, 0.3041) and O at (0.0000, 0.5000, 0.0690).

The density of states at the Fermi level is 0.0435 states/eV/atom. For the total energy, the calculation gives -5.275 eV per atom. For the uncorrected formation energy, the calculation gives -1882 meV/atom. The value obtained for the magnetization is 0.00 μB/atom.

***

No. 4
Material: TaInSeO2
Method: DFT, PBE
State: relaxed

It has space group P4/mmm (No. 123), with a = 3.9060 Å, b = 3.9060 Å, c = 6.4006 Å, α = 90.00°, β = 90.00° and γ = 90.00°. The asymmetric unit holds Ta at (0.0000, 0.0000, 0.0000), In at (0.0000, 0.0000, 0.5000), Se at (0.5000, 0.5000, 0.5000) and O at (0.0000, 0.5000, 0.0000).

The density of states at the Fermi level is 0.4593 states/eV/atom. For the total energy, the calculation gives -6.992 eV per atom. For the uncorrected formation energy, the calculation gives -1394 meV/atom. The value obtained for the magnetization is 0.00 μB/atom.

***

No. 5
Material: TmInSeO2
Method: DFT, PBE
State: relaxed

It has space group P2_1/m (No. 11), with a = 6.6675 Å, b = 4.0757 Å, c = 7.4488 Å, α = 90.00°, β = 115.09° and γ = 90.00°. The asymmetric unit holds Tm at (0.1714, 0.2500, 0.4380), In at (0.1727, 0.2500, 0.9470), Se at (0.4777, 0.7500, 0.7237), O at (0.0127, 0.7500, 0.3754) and O at (0.0400, 0.7500, 0.8880).

The density of states at the Fermi level is 0.0000 states/eV/atom. For the total energy, the calculation gives -6.253 eV per atom. For the uncorrected formation energy, the calculation gives -2131 meV/atom. The value obtained for the magnetization is 0.00 μB/atom.

***

No. 6
Material: UInSe2O
Method: DFT, PBE
State: relaxed

It has space group P4/nmm (No. 129, origin choice 2), with a = 3.9096 Å, b = 3.9096 Å, c = 14.6062 Å, α = 90.00°, β = 90.00° and γ = 90.00°. The asymmetric unit holds U at (0.2500, 0.2500, 0.0873), In at (0.2500, 0.2500, 0.6206), Se at (0.2500, 0.2500, 0.3962), Se at (0.2500, 0.2500, 0.8178) and O at (0.2500, 0.7500, 0.0000).

The density of states at the Fermi level is 1.4969 states/eV/atom. For the total energy, the calculation gives -6.702 eV per atom. For the uncorrected formation energy, the calculation gives -1511 meV/atom. The value obtained for the magnetization is 0.46 μB/atom.